Entry 1:
BTe2WN PBE optimized geometry; size of the total moment = 0.000 μB per atom; electronic total energy = -28.728 eV/cell; distance to the lowest polymorph of the same formula = 134 kJ/mol of formula units; DOS(E_F) = 0.5184 states/eV/atom; formation energy from raw total energies = 1.10 eV per atom
1.0
-1.1759 -1.4834 5.0584
4.1510 -3.4550 -0.0482
2.2856 2.7274 1.3311
Te W B N
2 1 1 1
Cartesian
2.0755 -1.7275 -0.0241
-0.5880 -0.7417 2.5292
0.0000 0.0000 0.0000
2.6304 -1.1055 3.1707
1.1428 1.3637 0.6656

=====

Entry 2:
YBTe2N PBE optimized geometry; size of the total moment = 0.000 μB per atom; electronic total energy = -21.901 eV/cell; distance to the lowest polymorph of the same formula = 628 kJ/mol of formula units; DOS(E_F) = 0.9764 states/eV/atom; formation energy from raw total energies = 1.17 eV per atom
1.0
6.1042 0.0000 0.0000
0.0000 6.1042 0.0000
0.0000 0.0000 4.0366
Te N Y B
2 1 1 1
Cartesian
0.0000 3.0521 0.0000
3.0521 0.0000 0.0000
0.0000 0.0000 2.0183
0.0000 0.0000 0.0000
3.0521 3.0521 2.0183

=====

Entry 3:
YBTe2N PBE optimized geometry; size of the total moment = 0.000 μB per atom; electronic total energy = -28.410 eV/cell; distance to the lowest polymorph of the same formula = 0 kJ/mol of formula units; DOS(E_F) = 0.4735 states/eV/atom; formation energy from raw total energies = -0.13 eV per atom
1.0
5.9900 0.0000 0.0000
0.0000 5.9900 0.0000
0.0000 0.0000 2.8713
Y Te B N
1 2 1 1
Cartesian
2.9950 2.9950 1.4357
0.0000 2.9950 0.0000
2.9950 0.0000 0.0000
0.0000 0.0000 0.0000
0.0000 0.0000 1.4357

=====

Entry 4:
ZrBTeN2 PBE optimized geometry; size of the total moment = 0.083 μB per atom; electronic total energy = -28.558 eV/cell; distance to the lowest polymorph of the same formula = 66 kJ/mol of formula units; DOS(E_F) = 0.8844 states/eV/atom; formation energy from raw total energies = 1.29 eV per atom
1.0
3.8733 0.0000 0.0000
0.0000 3.8733 0.0000
0.0000 0.0000 4.5486
N B Te Zr
2 1 1 1
Cartesian
0.0000 1.9366 0.0000
1.9366 0.0000 0.0000
0.0000 0.0000 0.0000
0.0000 0.0000 2.2743
1.9366 1.9366 2.2743

=====

Entry 5:
ZrBTeN2 PBE optimized geometry; size of the total moment = 0.048 μB per atom; electronic total energy = -29.242 eV/cell; distance to the lowest polymorph of the same formula = 0 kJ/mol of formula units; DOS(E_F) = 0.7757 states/eV/atom; formation energy from raw total energies = 1.16 eV per atom
1.0
-2.7093 -1.7597 2.4588
3.0236 -1.5827 2.1989
0.0084 5.0487 3.6225
N Zr Te B
2 1 1 1
Cartesian
-1.3546 -0.8799 1.2294
1.5118 -0.7914 1.0994
0.0000 0.0000 0.0000
0.0042 2.5243 1.8113
0.1614 0.8531 4.1401

=====

Entry 6:
ThBN2 PBE optimized geometry; size of the total moment = 0.000 μB per atom; electronic total energy = -140.514 eV/cell; distance to the lowest polymorph of the same formula = 0 kJ/mol of formula units; DOS(E_F) = 0.0648 states/eV/atom; formation energy from raw total energies = -1.10 eV per atom
1.0
-3.3069 -2.0354 3.5719
2.4126 -5.8827 -1.1185
3.6896 2.7423 4.9785
N B Th
8 4 4
Cartesian
0.9740 -1.7483 6.8145
1.2386 -5.5050 2.7906
1.2444 -3.9773 4.9098
1.5509 -1.1984 2.5220
4.4499 -2.8622 4.6163
-1.6546 -2.3135 2.8155
1.8213 -3.4274 0.6173
1.5567 0.3292 4.6412
1.8467 -0.6704 6.9318
0.9486 -4.5053 0.5001
1.7914 -0.0670 3.3279
1.0039 -5.1087 4.1040
-0.0273 -1.8180 0.6683
2.8226 -3.3577 6.7636
-0.0428 -1.6733 4.6330
2.8381 -3.5024 2.7988

=====

Entry 7:
Th2BN PBE optimized geometry; size of the total moment = 0.000 μB per atom; electronic total energy = -32.602 eV/cell; DOS(E_F) = 0.7174 states/eV/atom; formation energy from raw total energies = -0.69 eV per atom
1.0
3.8263 0.0000 0.0000
1.9132 3.3137 0.0000
1.9132 1.1046 6.1373
N Th B
1 2 1
Cartesian
3.8263 2.2091 3.0687
1.9132 1.1046 1.5961
5.7395 3.3137 4.5412
0.0000 0.0000 0.0000

=====

Entry 8:
ThBN2 PBE optimized geometry; size of the total moment = 0.105 μB per atom; electronic total energy = -26.429 eV/cell; distance to the lowest polymorph of the same formula = 839 kJ/mol of formula units; DOS(E_F) = 0.8745 states/eV/atom; formation energy from raw total energies = 1.08 eV per atom
1.0
3.0470 0.0000 0.0000
1.5235 2.6387 0.0000
1.5235 0.8796 6.0199
N Th B
2 1 1
Cartesian
4.5704 2.6387 2.1935
1.5235 0.8796 3.8264
0.0000 0.0000 0.0000
3.0470 1.7592 3.0100

=====

Entry 9:
ThBN3 PBE optimized geometry; size of the total moment = 0.000 μB per atom; electronic total energy = -86.709 eV/cell; formation energy from raw total energies = -0.86 eV per atom
1.0
5.2565 0.0000 -0.1070
0.0000 4.3504 0.0000
-2.2632 0.0000 6.0497
Th N B
2 6 2
Cartesian
3.2295 3.2628 4.3369
-0.2362 1.0876 1.6058
3.0001 2.4310 1.9845
-0.0068 0.2558 3.9581
3.0001 4.0946 1.9845
0.7205 3.2628 0.7697
2.2728 1.0876 5.1730
-0.0068 1.9194 3.9581
1.0208 1.0876 4.5552
1.9725 3.2628 1.3874

=====

Entry 10:
Ti4BN PBE optimized geometry; size of the total moment = 0.000 μB per atom; electronic total energy = -101.637 eV/cell; DOS(E_F) = 0.8965 states/eV/atom; formation energy from raw total energies = -0.71 eV per atom
1.0
-0.1581 2.2012 -4.9158
2.1127 -4.4775 -2.0729
-4.8662 -2.1281 -0.3629
Ti N B
8 2 2
Cartesian
-1.1032 -1.6070 -2.4673
-1.8084 -2.7974 -4.8843
0.9824 -3.3435 -3.6992
-1.3220 -4.7612 -2.8260
0.4474 -1.2768 -5.7099
-3.3591 -3.1276 -1.6417
-1.5896 0.3568 -4.5256
-3.8940 -1.0609 -3.6523
-1.3768 -3.3028 -1.2179
-2.5122 0.0365 -2.6394
0.0000 0.0000 0.0000
0.9773 -1.1381 -3.4943

=====

Entry 11:
Ti8B2N3 PBE optimized geometry; size of the total moment = 0.000 μB per atom; electronic total energy = -112.861 eV/cell; DOS(E_F) = 0.7471 states/eV/atom; formation energy from raw total energies = -0.87 eV per atom
1.0
5.2632 0.0000 0.3803
0.0000 5.9868 0.0000
-1.7238 -2.9934 5.1331
Ti B N
8 2 3
Cartesian
1.8845 -1.5125 4.2191
-0.8036 0.0000 4.1223
1.6548 1.4808 1.2942
1.8845 1.5125 4.2191
-0.8069 2.9934 4.0083
4.3429 2.9934 1.3910
4.3462 0.0000 1.5050
1.6548 4.5059 1.2942
2.6275 2.9934 2.7577
0.9119 0.0000 2.7556
0.0000 1.4457 0.0000
0.0000 4.5411 0.0000
2.6316 0.0000 0.1901

=====

Entry 12:
Ti7B2N2 PBE optimized geometry; size of the total moment = 0.000 μB per atom; electronic total energy = -91.918 eV/cell; DOS(E_F) = 0.8806 states/eV/atom; formation energy from raw total energies = -0.60 eV per atom
1.0
2.9208 0.0000 0.0000
1.4604 7.0992 -0.1515
1.4604 3.2326 6.3224
Ti N B
7 2 2
Cartesian
2.9208 3.2489 6.2951
2.9208 1.5570 1.7913
1.4604 2.7018 3.8277
2.9208 6.7658 3.1043
4.3812 5.6808 5.6069
2.9208 8.0165 5.6493
2.9208 4.3907 1.6857
1.4604 3.0855 0.8007
4.3812 8.1640 3.8338
1.4604 6.2091 1.3388
2.9208 4.5068 4.1889

=====

Entry 13:
Ti8BN2 PBE optimized geometry; size of the total moment = 0.000 μB per atom; electronic total energy = -91.439 eV/cell; DOS(E_F) = 0.8860 states/eV/atom; formation energy from raw total energies = -0.45 eV per atom
1.0
-0.3341 0.2262 -4.9282
4.9089 -3.9399 -0.6136
-0.6316 -6.2832 -0.3455
B Ti N
1 8 2
Cartesian
0.0000 0.0000 0.0000
0.1686 -4.7442 -3.9839
2.5102 -6.4302 -4.3283
3.4905 -8.4886 -2.0583
1.4331 -3.5668 -1.5590
0.9891 -6.4309 -1.7686
2.9541 -3.5661 -4.1187
3.7747 -5.2528 -1.9033
0.4527 -1.5084 -3.8289
0.6956 -1.8614 -1.8941
3.2476 -8.1356 -3.9931